1.
{"formula": "CuMo4", "functional": "PBEsol", "state": "relaxed", "dos_ef_per_ev_cell": 4.46, "space_group": "I4/m, No. 87", "ef_ev_per_atom": 0.325, "lattice_angstrom": [[-2.949, 2.949, 2.121], [2.949, -2.949, 2.121], [2.949, 2.949, -2.121]], "species": ["Cu", "Mo", "Mo", "Mo", "Mo"], "fractional_positions": [[0.000, 0.000, 0.000], [0.208, 0.602, 0.810], [0.398, 0.208, 0.605], [0.602, 0.792, 0.395], [0.792, 0.398, 0.190]]}


2.
{"formula": "CuMo", "functional": "PBEsol", "state": "relaxed", "dos_ef_per_ev_cell": 2.23, "space_group": "C2/m, No. 12", "ef_ev_per_atom": 0.249, "lattice_angstrom": [[4.452, -1.265, 0.000], [4.452, 1.265, 0.000], [-0.584, 0.000, 4.771]], "species": ["Cu", "Cu", "Mo", "Mo"], "fractional_positions": [[0.128, 0.128, 0.385], [0.872, 0.872, 0.615], [0.381, 0.381, 0.130], [0.619, 0.619, 0.870]]}


3.
{"formula": "CuMo3", "functional": "PBEsol", "state": "relaxed", "dos_ef_per_ev_cell": 3.19, "space_group": "P2/m, No. 10", "ef_ev_per_atom": 0.222, "lattice_angstrom": [[2.599, 0.000, 0.000], [0.000, 4.397, 0.000], [-0.860, 0.000, 5.077]], "species": ["Cu", "Mo", "Mo", "Mo"], "fractional_positions": [[0.000, 0.000, 0.000], [0.256, 0.500, 0.752], [0.500, 0.000, 0.500], [0.744, 0.500, 0.248]]}


4.
{"formula": "CuMoN3", "functional": "PBEsol", "state": "relaxed", "dos_ef_per_ev_cell": 3.04, "e_form_raw_ev_per_atom": 1.524, "space_group": "Pm-3m, No. 221", "lattice_angstrom": [[3.609, 0.000, 0.000], [0.000, 3.609, 0.000], [0.000, 0.000, 3.609]], "species": ["Cu", "Mo", "N", "N", "N"], "fractional_positions": [[0.000, 0.000, 0.000], [0.500, 0.500, 0.500], [0.000, 0.000, 0.500], [0.000, 0.500, 0.000], [0.500, 0.000, 0.000]]}


5.
{"formula": "CuNiMoN2", "functional": "PBEsol", "state": "relaxed", "dos_ef_per_ev_cell": 4.41, "e_form_raw_ev_per_atom": 1.677, "space_group": "P4/mmm, No. 123", "lattice_angstrom": [[3.636, 0.000, 0.000], [0.000, 3.636, 0.000], [0.000, 0.000, 4.171]], "species": ["Cu", "Ni", "Mo", "N", "N"], "fractional_positions": [[0.000, 0.000, 0.000], [0.000, 0.000, 0.500], [0.500, 0.500, 0.500], [0.000, 0.500, 0.000], [0.500, 0.000, 0.000]]}


6.
{"formula": "CuMoN2O", "functional": "PBEsol", "state": "relaxed", "dos_ef_per_ev_cell": 3.68, "e_form_raw_ev_per_atom": 0.161, "space_group": "P4/mmm, No. 123", "lattice_angstrom": [[3.907, 0.000, 0.000], [0.000, 3.907, 0.000], [0.000, 0.000, 3.787]], "species": ["Cu", "Mo", "N", "N", "O"], "fractional_positions": [[0.000, 0.000, 0.000], [0.500, 0.500, 0.500], [0.000, 0.500, 0.500], [0.500, 0.000, 0.500], [0.500, 0.500, 0.000]]}


7.
{"formula": "CuMoN2O", "functional": "PBEsol", "state": "relaxed", "dos_ef_per_ev_cell": 2.72, "e_form_raw_ev_per_atom": 1.005, "space_group": "P4/mmm, No. 123", "lattice_angstrom": [[3.658, 0.000, 0.000], [0.000, 3.658, 0.000], [0.000, 0.000, 3.593]], "species": ["Cu", "Mo", "N", "N", "O"], "fractional_positions": [[0.000, 0.000, 0.000], [0.500, 0.500, 0.500], [0.000, 0.500, 0.000], [0.500, 0.000, 0.000], [0.000, 0.000, 0.500]]}


8.
{"formula": "CuMoS4N", "functional": "PBEsol", "state": "relaxed", "dos_ef_per_ev_cell": 4.38, "e_form_raw_ev_per_atom": 0.544, "space_group": "I-4, No. 82", "lattice_angstrom": [[-3.760, 3.760, 2.679], [3.760, -3.760, 2.679], [3.760, 3.760, -2.679]], "species": ["Cu", "Mo", "S", "S", "S", "S", "N"], "fractional_positions": [[0.000, 0.000, 0.000], [0.500, 0.500, 0.000], [0.135, 0.459, 0.078], [0.381, 0.057, 0.922], [0.541, 0.619, 0.676], [0.943, 0.865, 0.324], [0.750, 0.250, 0.500]]}


9.
{"formula": "CuMoSe2N", "functional": "PBEsol", "state": "relaxed", "dos_ef_per_ev_cell": 4.29, "e_form_raw_ev_per_atom": 1.058, "space_group": "P4/mmm, No. 123", "lattice_angstrom": [[4.826, 0.000, 0.000], [0.000, 4.826, 0.000], [0.000, 0.000, 3.469]], "species": ["Cu", "Mo", "Se", "Se", "N"], "fractional_positions": [[0.000, 0.000, 0.000], [0.500, 0.500, 0.500], [0.000, 0.500, 0.000], [0.500, 0.000, 0.000], [0.000, 0.000, 0.500]]}


10.
{"formula": "Cu2SnMoN", "functional": "PBEsol", "state": "relaxed", "dos_ef_per_ev_cell": 3.06, "e_form_raw_ev_per_atom": 1.797, "space_group": "P4/mmm, No. 123", "lattice_angstrom": [[4.733, 0.000, 0.000], [0.000, 4.733, 0.000], [0.000, 0.000, 3.993]], "species": ["Cu", "Cu", "Sn", "Mo", "N"], "fractional_positions": [[0.000, 0.500, 0.000], [0.500, 0.000, 0.000], [0.000, 0.000, 0.000], [0.500, 0.500, 0.500], [0.000, 0.000, 0.500]]}


11.
{"formula": "CuTeMoN2", "functional": "PBEsol", "state": "relaxed", "dos_ef_per_ev_cell": 2.09, "e_form_raw_ev_per_atom": 0.442, "space_group": "P4/mmm, No. 123", "lattice_angstrom": [[3.823, 0.000, 0.000], [0.000, 3.823, 0.000], [0.000, 0.000, 5.653]], "species": ["Cu", "Te", "Mo", "N", "N"], "fractional_positions": [[0.000, 0.000, 0.000], [0.500, 0.500, 0.000], [0.500, 0.500, 0.500], [0.000, 0.500, 0.500], [0.500, 0.000, 0.500]]}


12.
{"formula": "Na2CuMo", "functional": "PBEsol", "state": "relaxed", "dos_ef_per_ev_cell": 2.39, "space_group": "Fm-3m, No. 225", "ef_ev_per_atom": 1.412, "lattice_angstrom": [[0.000, 3.439, 3.439], [3.439, 0.000, 3.439], [3.439, 3.439, 0.000]], "species": ["Na", "Na", "Cu", "Mo"], "fractional_positions": [[0.250, 0.250, 0.250], [0.750, 0.750, 0.750], [0.000, 0.000, 0.000], [0.500, 0.500, 0.500]]}


13.
{"formula": "NaCuMoO2", "functional": "PBEsol", "state": "relaxed", "dos_ef_per_ev_cell": 5.25, "e_form_raw_ev_per_atom": 1.562, "space_group": "P4/mmm, No. 123", "lattice_angstrom": [[3.967, 0.000, 0.000], [0.000, 3.967, 0.000], [0.000, 0.000, 4.709]], "species": ["Na", "Cu", "Mo", "O", "O"], "fractional_positions": [[0.000, 0.000, 0.000], [0.500, 0.500, 0.500], [0.000, 0.000, 0.500], [0.000, 0.500, 0.000], [0.500, 0.000, 0.000]]}


14.
{"formula": "RbNaCuMo2", "functional": "PBEsol", "state": "relaxed", "dos_ef_per_ev_cell": 5.98, "space_group": "P4/mmm, No. 123", "ef_ev_per_atom": 2.931, "lattice_angstrom": [[4.695, 0.000, 0.000], [0.000, 4.695, 0.000], [0.000, 0.000, 4.844]], "species": ["Rb", "Na", "Cu", "Mo", "Mo"], "fractional_positions": [[0.000, 0.000, 0.000], [0.000, 0.000, 0.500], [0.500, 0.500, 0.500], [0.000, 0.500, 0.000], [0.500, 0.000, 0.000]]}


15.
{"formula": "CuNiMo3", "functional": "PBEsol", "state": "relaxed", "dos_ef_per_ev_cell": 6.03, "relative_energy_mev_per_atom": 0, "space_group": "Pm-3m, No. 221", "ef_ev_per_atom": 1.547, "lattice_angstrom": [[4.383, 0.000, 0.000], [0.000, 4.383, 0.000], [0.000, 0.000, 4.383]], "species": ["Cu", "Ni", "Mo", "Mo", "Mo"], "fractional_positions": [[0.000, 0.000, 0.000], [0.500, 0.500, 0.500], [0.000, 0.500, 0.500], [0.500, 0.000, 0.500], [0.500, 0.500, 0.000]]}


16.
{"formula": "CuNiMo", "functional": "PBEsol", "state": "relaxed", "dos_ef_per_ev_cell": 0.91, "relative_energy_mev_per_atom": 0, "space_group": "P-6m2, No. 187", "ef_ev_per_atom": 0.014, "lattice_angstrom": [[4.099, 0.000, 0.000], [-2.050, 3.550, 0.000], [0.000, 0.000, 2.498]], "species": ["Cu", "Ni", "Mo"], "fractional_positions": [[0.000, 0.000, 0.000], [0.667, 0.333, 0.000], [0.333, 0.667, 0.500]]}


17.
{"formula": "CuNiMo3", "functional": "PBEsol", "state": "relaxed", "dos_ef_per_ev_cell": 9.50, "relative_energy_mev_per_atom": 329, "space_group": "Pm-3m, No. 221", "ef_ev_per_atom": 1.876, "lattice_angstrom": [[4.393, 0.000, 0.000], [0.000, 4.393, 0.000], [0.000, 0.000, 4.393]], "species": ["Cu", "Ni", "Mo", "Mo", "Mo"], "fractional_positions": [[0.000, 0.000, 0.000], [0.500, 0.500, 0.500], [0.000, 0.000, 0.500], [0.000, 0.500, 0.000], [0.500, 0.000, 0.000]]}


18.
{"formula": "CuNiMo", "functional": "PBEsol", "state": "relaxed", "dos_ef_per_ev_cell": 3.62, "relative_energy_mev_per_atom": 749, "space_group": "F-43m, No. 216", "ef_ev_per_atom": 0.763, "lattice_angstrom": [[0.000, 2.754, 2.754], [2.754, 0.000, 2.754], [2.754, 2.754, 0.000]], "species": ["Cu", "Ni", "Mo"], "fractional_positions": [[0.000, 0.000, 0.000], [0.750, 0.750, 0.750], [0.250, 0.250, 0.250]]}


19.
{"formula": "Cu2NiMo", "functional": "PBEsol", "state": "relaxed", "dos_ef_per_ev_cell": 2.87, "relative_energy_mev_per_atom": 0, "space_group": "P4mm, No. 99", "ef_ev_per_atom": 0.052, "lattice_angstrom": [[2.581, 0.000, 0.000], [0.000, 2.581, 0.000], [0.000, 0.000, 7.221]], "species": ["Cu", "Cu", "Ni", "Mo"], "fractional_positions": [[0.000, 0.000, 0.000], [0.500, 0.500, 0.237], [0.500, 0.500, 0.768], [0.000, 0.000, 0.514]]}


20.
{"formula": "Cu2NiMo", "functional": "PBEsol", "state": "relaxed", "dos_ef_per_ev_cell": 2.95, "relative_energy_mev_per_atom": 82, "space_group": "Pm, No. 6", "ef_ev_per_atom": 0.134, "lattice_angstrom": [[2.502, 0.000, 0.000], [0.000, 3.960, 0.000], [-1.199, 0.000, 4.902]], "species": ["Cu", "Cu", "Ni", "Mo"], "fractional_positions": [[0.000, 0.000, 0.000], [0.393, 0.500, 0.795], [0.259, 0.000, 0.512], [0.662, 0.500, 0.310]]}